Record 1
Rb3YPd: relaxed, GGA-PBE.

Geometry as POSCAR:
```
Rb3YPd
1.0
6.499 0.000 0.000
0.000 6.499 0.000
0.000 0.000 6.499
Rb Y Pd
3 1 1
Direct
0.000 0.000 0.500
0.000 0.500 0.000
0.500 0.000 0.000
0.500 0.500 0.500
0.000 0.000 0.000
```

Summary:
- formation energy (eV/atom) = 0.640
- volume (Å³ per atom) = 54.894
- E above lowest polymorph (meV/atom) = 0
- SG = No. 221

Record 2
TaTiN2F: relaxed, GGA-PBE.

Geometry as POSCAR:
```
TaTiN2F
1.0
4.189 0.000 0.000
0.000 4.189 0.000
0.000 0.000 3.423
Ta Ti N F
1 1 2 1
Direct
0.000 0.000 0.000
0.500 0.500 0.000
0.000 0.500 0.500
0.500 0.000 0.500
0.500 0.500 0.500
```

Summary:
- volume (Å³ per atom) = 12.014
- E above lowest polymorph (meV/atom) = 1532
- SG = No. 123
- formation energy (no corrections) (eV/atom) = 0.821

Record 3
Tb4Mg3Pt: relaxed, GGA-PBE.

Geometry as POSCAR:
```
Tb4Mg3Pt
1.0
3.695 0.000 0.000
0.000 3.695 0.000
0.000 0.000 15.029
Tb Mg Pt
4 3 1
Direct
0.000 0.000 0.107
0.000 0.000 0.369
0.000 0.000 0.631
0.000 0.000 0.893
0.500 0.500 0.241
0.500 0.500 0.500
0.500 0.500 0.759
0.500 0.500 0.000
```

Summary:
- formation energy (eV/atom) = -0.374
- volume (Å³ per atom) = 25.644
- SG = No. 123

Record 4
AcNdFe: relaxed, GGA-PBE.

Geometry as POSCAR:
```
AcNdFe
1.0
6.258 -2.757 0.000
6.258 2.757 0.000
-2.228 0.000 5.155
Ac Nd Fe
2 2 2
Direct
0.131 0.131 0.399
0.869 0.869 0.601
0.378 0.378 0.098
0.622 0.622 0.902
0.398 0.398 0.592
0.602 0.602 0.408
```

Summary:
- formation energy (eV/atom) = 0.253
- volume (Å³ per atom) = 29.645
- SG = No. 12

> Which of these has the lowest volume?

TaTiN2F

> Which value of volume does entry 4 give?

29.645 Å³ per atom